# Ca3Tb3DyS8, relaxed, DFT PBE-GGA
data_Ca3Tb3DyS8
_symmetry_space_group_name_H-M 'R -3 m'
_symmetry_Int_Tables_number 166
_symmetry_space_group_name_Hall '-R 3 2"'
_cell_length_a 7.9023
_cell_length_b 7.9023
_cell_length_c 19.6727
_cell_angle_alpha 90.00
_cell_angle_beta 90.00
_cell_angle_gamma 120.00
loop_
_atom_site_label
_atom_site_fract_x
_atom_site_fract_y
_atom_site_fract_z
Ca1 0.0000 0.5000 0.0000
Tb1 0.0000 0.5000 0.5000
Dy1 0.0000 0.0000 0.5000
S1 0.0000 0.0000 0.2485
S2 0.0032 0.5016 0.2464
# Total magnetic moment = 0.000 μB per cell
# Uncorrected formation energy = -2.09 eV/atom